1.
An optimized crystal structure of Al2GaI, computed with PBE-GGA.

a b c (Å): 5.088 5.088 5.088
angles (deg): 60.00 60.00 60.00
Fractional positions:
Al1 0.750 0.750 0.750
Al2 0.250 0.250 0.250
Ga1 0.000 0.000 0.000
I1 0.500 0.500 0.500

Calculated values
Calculated total energy in eV/cell: -10.3
Mass density in g/cm3: 4.5
E_form (uncorrected) in eV/f.u.: 1.8


2.
An optimized crystal structure of AlGaI, computed with PBE-GGA.

a b c (Å): 3.710 4.692 6.158
angles (deg): 109.87 89.69 113.43
Fractional positions:
Al1 0.313 0.220 0.575
Ga1 0.002 0.592 0.475
I1 0.934 0.463 0.972

Calculated values
Calculated total energy in eV/cell: -8.4
Mass density in g/cm3: 4.1
E_form (uncorrected) in eV/f.u.: 0.0


3.
An optimized crystal structure of AlGaI, computed with PBE-GGA.

a b c (Å): 6.085 6.681 10.647
angles (deg): 115.79 90.00 90.00
Fractional positions:
Al1 0.832 0.042 0.094
Al2 0.332 0.458 0.906
Al3 0.168 0.958 0.906
Al4 0.668 0.542 0.094
Ga1 0.929 0.610 0.915
Ga2 0.571 0.110 0.915
Ga3 0.071 0.390 0.085
Ga4 0.429 0.890 0.085
I1 0.028 0.111 0.325
I2 0.972 0.889 0.675
I3 0.472 0.611 0.325
I4 0.528 0.389 0.675

Calculated values
Calculated total energy in eV/cell: -34.0
Mass density in g/cm3: 3.8
E_form (uncorrected) in eV/f.u.: -0.2


4.
An optimized crystal structure of AlGa2I, computed with PBE-GGA.

a b c (Å): 6.291 6.291 7.898
angles (deg): 66.53 66.53 90.00
Fractional positions:
Ga1 0.875 0.802 0.750
Ga2 0.552 0.125 0.250
Ga3 0.375 0.448 0.750
Ga4 0.198 0.625 0.250
I1 0.750 0.250 0.500
I2 0.000 0.000 0.000
Al1 0.250 0.750 0.500
Al2 0.500 0.500 0.000

Calculated values
Calculated total energy in eV/cell: -22.0
Mass density in g/cm3: 3.8
E_form (uncorrected) in eV/f.u.: 0.4


5.
An optimized crystal structure of AlGa3I, computed with PBE-GGA.

a b c (Å): 5.154 5.154 5.154
angles (deg): 90.00 90.00 90.00
Fractional positions:
I1 0.500 0.500 0.500
Ga1 0.000 0.000 0.500
Ga2 0.500 0.000 0.000
Ga3 0.000 0.500 0.000
Al1 0.000 0.000 0.000

Calculated values
Calculated total energy in eV/cell: -13.7
Mass density in g/cm3: 4.4
E_form (uncorrected) in eV/f.u.: 0.7


6.
An optimized crystal structure of AlGa2I, computed with PBE-GGA.

a b c (Å): 5.210 5.210 5.210
angles (deg): 60.00 60.00 60.00
Fractional positions:
I1 0.500 0.500 0.500
Ga1 0.750 0.750 0.750
Ga2 0.250 0.250 0.250
Al1 0.000 0.000 0.000

Calculated values
Calculated total energy in eV/cell: -10.0
Mass density in g/cm3: 4.9
E_form (uncorrected) in eV/f.u.: 1.4


7.
An optimized crystal structure of AlGa3I6, computed with PBE-GGA.

a b c (Å): 7.889 10.548 10.548
angles (deg): 102.63 90.00 90.00
Fractional positions:
Ga1 0.972 0.121 0.291
Ga2 0.972 0.709 0.879
Ga3 0.860 0.574 0.426
Ga4 0.360 0.426 0.574
Ga5 0.472 0.879 0.709
Ga6 0.472 0.291 0.121
I1 0.167 0.052 0.948
I2 0.690 0.888 0.427
I3 0.190 0.427 0.888
I4 0.740 0.206 0.794
I5 0.667 0.948 0.052
I6 0.667 0.295 0.379
I7 0.240 0.794 0.206
I8 0.667 0.621 0.705
I9 0.167 0.379 0.295
I10 0.690 0.573 0.112
I11 0.167 0.705 0.621
I12 0.190 0.112 0.573
Al1 0.561 0.800 0.200
Al2 0.061 0.200 0.800

Calculated values
Calculated total energy in eV/cell: -53.4
Mass density in g/cm3: 3.9
E_form (uncorrected) in eV/f.u.: -4.6


8.
An optimized crystal structure of AlGaI, computed with PBE-GGA.

a b c (Å): 3.763 4.330 11.668
angles (deg): 90.88 95.15 111.50
Fractional positions:
Al1 0.494 0.186 0.711
Al2 0.390 0.639 0.398
I1 0.813 0.543 0.224
I2 0.037 0.142 0.885
Ga1 0.049 0.070 0.488
Ga2 0.092 0.589 0.621

Calculated values
Calculated total energy in eV/cell: -17.3
Mass density in g/cm3: 4.2
E_form (uncorrected) in eV/f.u.: -0.3


9.
An optimized crystal structure of AlGaI2, computed with PBE-GGA.

a b c (Å): 7.553 7.553 9.083
angles (deg): 65.43 65.43 90.00
Fractional positions:
Al1 0.250 0.750 0.500
Al2 0.500 0.500 0.000
I1 0.125 0.625 0.250
I2 0.375 0.375 0.750
I3 0.875 0.875 0.750
I4 0.625 0.125 0.250
Ga1 0.000 0.000 0.000
Ga2 0.750 0.250 0.500

Calculated values
Calculated total energy in eV/cell: -19.9
Mass density in g/cm3: 2.8
E_form (uncorrected) in eV/f.u.: -0.1


10.
An optimized crystal structure of AlGaI, computed with PBE-GGA.

a b c (Å): 5.065 5.167 9.538
angles (deg): 95.54 91.33 115.09
Fractional positions:
I1 0.795 0.097 0.189
I2 0.205 0.903 0.811
Ga1 0.231 0.487 0.432
Ga2 0.769 0.513 0.568
Al1 0.731 0.962 0.449
Al2 0.269 0.038 0.551

Calculated values
Calculated total energy in eV/cell: -17.1
Mass density in g/cm3: 3.3
E_form (uncorrected) in eV/f.u.: -0.3


11.
An optimized crystal structure of AlGaI2, computed with PBE-GGA.

a b c (Å): 5.714 5.714 5.714
angles (deg): 60.00 60.00 60.00
Fractional positions:
Al1 0.000 0.000 0.000
I1 0.750 0.750 0.750
I2 0.250 0.250 0.250
Ga1 0.500 0.500 0.500

Calculated values
Calculated total energy in eV/cell: -10.0
Mass density in g/cm3: 4.4
E_form (uncorrected) in eV/f.u.: -0.2


12.
An optimized crystal structure of AlGa3I, computed with PBE-GGA.

a b c (Å): 5.879 5.879 5.879
angles (deg): 90.00 90.00 90.00
Fractional positions:
Ga1 0.000 0.500 0.000
Ga2 0.500 0.000 0.000
Ga3 0.000 0.000 0.500
I1 0.000 0.000 0.000
Al1 0.500 0.500 0.500

Calculated values
Calculated total energy in eV/cell: -10.1
Mass density in g/cm3: 3.0
E_form (uncorrected) in eV/f.u.: 4.2


13.
An optimized crystal structure of AlGaI, computed with PBE-GGA.

a b c (Å): 3.777 4.609 11.443
angles (deg): 94.29 97.42 90.00
Fractional positions:
Ga1 0.266 0.175 0.542
Ga2 0.734 0.825 0.458
Al1 0.307 0.681 0.644
Al2 0.693 0.319 0.356
I1 0.876 0.709 0.821
I2 0.124 0.291 0.179

Calculated values
Calculated total energy in eV/cell: -17.5
Mass density in g/cm3: 3.8
E_form (uncorrected) in eV/f.u.: -0.4